The following is a PBE calculation of a geometry-optimized La2MnSb structure, from Alexandria via LeMat-Bulk.

Formation energy from raw total energies ... -367 meV/atom
Raw total energy ... -6.154 eV/atom
SG ... Imm2

a b c (Å): 6.2614 6.2614 6.2614
angles (deg): 141.38 133.52 61.98
Closest atoms and distances in Å follow each position.
Fractional positions:
La 0.0000 0.0000 0.0000  4 Sb 3.28, 4 La 3.47-3.59, 4 Mn 3.52-3.53
La 0.7263 0.2263 0.5000  4 Mn 3.25, 2 Sb 3.41, 4 La 3.47-3.59
Mn 0.2660 0.7660 0.5000  2 Sb 2.83
Sb 0.4455 0.4455 0.0000  2 Mn 2.83